1.
{"formula": "RbPrCoTe3", "functional": "PBE", "state": "optimized geometry", "lattice_angstrom": [[12.580, 0.000, 0.000], [0.000, 4.569, 0.000], [0.000, 0.000, 13.629]], "species": ["Co", "Co", "Co", "Co", "Pr", "Pr", "Pr", "Pr", "Rb", "Rb", "Rb", "Rb", "Te", "Te", "Te", "Te", "Te", "Te", "Te", "Te", "Te", "Te", "Te", "Te"], "fractional_positions": [[0.750, 0.000, 0.202], [0.250, 0.000, 0.298], [0.750, 0.500, 0.702], [0.250, 0.500, 0.798], [0.474, 0.500, 0.173], [0.974, 0.500, 0.327], [0.026, 0.000, 0.673], [0.526, 0.000, 0.827], [0.178, 0.000, 0.006], [0.678, 0.000, 0.494], [0.322, 0.500, 0.506], [0.822, 0.500, 0.994], [0.610, 0.000, 0.061], [0.948, 0.000, 0.166], [0.216, 0.500, 0.216], [0.716, 0.500, 0.284], [0.448, 0.000, 0.334], [0.110, 0.000, 0.439], [0.890, 0.500, 0.561], [0.552, 0.500, 0.666], [0.284, 0.000, 0.716], [0.784, 0.000, 0.784], [0.052, 0.500, 0.834], [0.390, 0.500, 0.939]], "m_tot_mub_per_fu": 2.279, "e_tot_ev_per_cell": -108.42}

=====

2.
{"formula": "PrBeO3", "functional": "PBE", "state": "optimized geometry", "lattice_angstrom": [[-0.362, 5.113, 0.306], [-0.101, -0.317, 5.168], [7.275, 0.505, 0.173]], "species": ["Be", "Be", "Be", "Be", "O", "O", "O", "O", "O", "O", "O", "O", "O", "O", "O", "O", "Pr", "Pr", "Pr", "Pr"], "fractional_positions": [[0.500, 0.000, 0.000], [0.000, 0.500, 0.000], [0.500, 0.000, 0.500], [0.000, 0.500, 0.500], [0.750, 0.250, 0.001], [0.750, 0.750, 0.001], [0.498, 0.000, 0.250], [0.002, 0.500, 0.250], [0.750, 0.250, 0.499], [0.750, 0.750, 0.499], [0.250, 0.250, 0.501], [0.250, 0.750, 0.501], [0.998, 0.500, 0.750], [0.502, 0.000, 0.750], [0.250, 0.250, 0.999], [0.250, 0.750, 0.999], [0.000, 0.001, 0.250], [0.500, 0.501, 0.250], [0.500, 0.499, 0.750], [0.000, 0.999, 0.750]], "m_tot_mub_per_fu": 1.000, "e_tot_ev_per_cell": -142.29}

=====

3.
{"formula": "NdSc", "functional": "PBE", "state": "optimized geometry", "lattice_angstrom": [[-3.381, -2.682, -0.904], [-2.005, -2.195, 3.257], [-4.088, 1.116, 1.220]], "species": ["Nd", "Sc"], "fractional_positions": [[0.000, 0.000, 0.000], [0.500, 0.500, 0.500]], "m_tot_mub_per_fu": 0.156, "delta_e_f_ev_per_atom": 0.691}

=====

4.
{"formula": "HfZn2Sb", "functional": "PBE", "state": "optimized geometry", "lattice_angstrom": [[0.000, 3.418, 3.418], [3.418, 0.000, 3.418], [3.418, 3.418, 0.000]], "species": ["Hf", "Sb", "Zn", "Zn"], "fractional_positions": [[0.250, 0.250, 0.250], [0.500, 0.500, 0.500], [0.000, 0.000, 0.000], [0.750, 0.750, 0.750]], "m_tot_mub_per_fu": 0.000, "e_tot_ev_per_cell": -15.98}

=====

5.
{"formula": "Li4CdGaCu2", "functional": "PBE", "state": "optimized geometry", "lattice_angstrom": [[-2.098, 3.713, -0.592], [-3.736, -1.983, 0.808], [0.603, 1.289, 5.950]], "species": ["Cd", "Cu", "Cu", "Ga", "Li", "Li", "Li", "Li"], "fractional_positions": [[0.500, 0.500, 0.500], [0.000, 0.500, 0.226], [0.500, 0.000, 0.774], [0.000, 0.000, 0.000], [0.500, 0.500, 0.000], [0.500, 0.000, 0.238], [0.000, 0.000, 0.500], [0.000, 0.500, 0.762]], "e_tot_ev_per_cell": -20.55}

=====

6.
{"formula": "LiNbAg2", "functional": "PBE", "state": "optimized geometry", "lattice_angstrom": [[0.000, 3.205, 3.205], [3.205, 0.000, 3.205], [3.205, 3.205, 0.000]], "species": ["Ag", "Ag", "Li", "Nb"], "fractional_positions": [[0.000, 0.000, 0.000], [0.750, 0.750, 0.750], [0.500, 0.500, 0.500], [0.250, 0.250, 0.250]], "m_tot_mub_per_fu": 0.003, "e_tot_ev_per_cell": -16.27}

=====

Asked for V across the records above, the calculation gives 32.640; 9.700; 30.317; 19.966; 14.178; 16.466 Å³/atom in order.